Here is CdI2 after structural relaxation from OQMD. Energies are from PBE.

The structure in CIF format:
```
data_CdI2
_symmetry_space_group_name_H-M 'P 1'
_symmetry_Int_Tables_number 1
_cell_length_a 10.4920
_cell_length_b 4.2054
_cell_length_c 11.1687
_cell_angle_alpha 90.00
_cell_angle_beta 90.00
_cell_angle_gamma 90.00
loop_
_symmetry_equiv_pos_as_xyz
'x,y,z'
loop_
_atom_site_label
_atom_site_fract_x
_atom_site_fract_y
_atom_site_fract_z
Cd1 0.3393 0.7500 0.0316
Cd2 0.8393 0.7500 0.4684
Cd3 0.1607 0.2500 0.5316
Cd4 0.6607 0.2500 0.9684
I1 0.8361 0.7500 0.0269
I2 0.4859 0.2500 0.1733
I3 0.9859 0.2500 0.3267
I4 0.3361 0.7500 0.4731
I5 0.6639 0.2500 0.5269
I6 0.0141 0.7500 0.6733
I7 0.5141 0.7500 0.8267
I8 0.1639 0.2500 0.9731
```

Summary:
DFT total energy ... -1.8616 eV/atom
Calculated volume ... 41.067 A^3/atom

***

Here is CdI2 after structural relaxation from OQMD. Energies are from PBE.

The structure in CIF format:
```
data_CdI2
_symmetry_space_group_name_H-M 'P 1'
_symmetry_Int_Tables_number 1
_cell_length_a 4.2909
_cell_length_b 4.2910
_cell_length_c 34.9660
_cell_angle_alpha 90.00
_cell_angle_beta 93.52
_cell_angle_gamma 120.00
loop_
_symmetry_equiv_pos_as_xyz
'x,y,z'
loop_
_atom_site_label
_atom_site_fract_x
_atom_site_fract_y
_atom_site_fract_z
Cd1 0.3665 0.6832 0.0500
Cd2 0.5000 0.7500 0.2500
Cd3 0.3002 0.1501 0.4499
Cd4 0.7666 0.8833 0.6499
Cd5 0.5667 0.2834 0.8500
I1 0.0003 0.0002 0.0005
I2 0.7330 0.3665 0.0994
I3 0.1337 0.0668 0.2005
I4 0.8663 0.4331 0.2995
I5 0.6004 0.8002 0.4006
I6 0.9996 0.4999 0.4994
I7 0.4004 0.2002 0.6006
I8 0.1330 0.5665 0.6995
I9 0.8670 0.9335 0.8006
I10 0.2663 0.6332 0.8994
```

Summary:
DFT total energy ... -1.8997 eV/atom
Calculated volume ... 37.076 A^3/atom

***

Here is CdI2 after structural relaxation from OQMD. Energies are from PBE.

The structure in CIF format:
```
data_CdI2
_symmetry_space_group_name_H-M 'P 1'
_symmetry_Int_Tables_number 1
_cell_length_a 4.2922
_cell_length_b 4.2922
_cell_length_c 76.7260
_cell_angle_alpha 90.00
_cell_angle_beta 90.00
_cell_angle_gamma 120.00
loop_
_symmetry_equiv_pos_as_xyz
'x,y,z'
loop_
_atom_site_label
_atom_site_fract_x
_atom_site_fract_y
_atom_site_fract_z
Cd1 0.6666 0.3333 0.0227
Cd2 0.0000 0.0000 0.1136
Cd3 0.6667 0.3333 0.2045
Cd4 0.0000 0.0000 0.2954
Cd5 0.6667 0.3333 0.3864
Cd6 0.6667 0.3333 0.4773
Cd7 0.0000 0.0000 0.5681
Cd8 0.6667 0.3333 0.6590
Cd9 0.0000 0.0000 0.7500
Cd10 0.6667 0.3333 0.8410
Cd11 0.6667 0.3333 0.9318
I1 0.0000 0.0000 0.0003
I2 0.3333 0.6667 0.0452
I3 0.6666 0.3333 0.0912
I4 0.3334 0.6667 0.1361
I5 0.0000 0.0000 0.1821
I6 0.3334 0.6667 0.2270
I7 0.6666 0.3333 0.2730
I8 0.3334 0.6667 0.3179
I9 0.0000 0.0000 0.3639
I10 0.3334 0.6667 0.4088
I11 0.0000 0.0000 0.4548
I12 0.3333 0.6667 0.4997
I13 0.6666 0.3333 0.5458
I14 0.3334 0.6667 0.5907
I15 0.0000 0.0000 0.6366
I16 0.3333 0.6667 0.6816
I17 0.6666 0.3333 0.7275
I18 0.3334 0.6667 0.7725
I19 0.0000 0.0000 0.8184
I20 0.3334 0.6667 0.8634
I21 0.0000 0.0000 0.9093
I22 0.3333 0.6667 0.9543
```

Summary:
DFT total energy ... -1.8996 eV/atom
Calculated volume ... 37.095 A^3/atom

***

Question: Which formula does entry 1 have?
Answer: CdI2

***

Question: The lowest calculated volume belongs to which entry?
Answer: number 2

***

Question: Which formula does entry 1 have?
Answer: CdI2